The following is a DFT calculation (PBE) of a relaxed structure of Cs2SiPd.

abc: 9.7156 9.7156 9.7156
angles: 93.26 93.26 152.41
With the nearest neighbours (Å) after each atom.
Fractional positions:
Cs  0.6250  0.9436  0.8186  2 Pd 3.51, 2 Si 3.87
Cs  0.0564  0.8750  0.6814  2 Pd 3.51, 2 Si 3.87
Cs  0.1936  0.3750  0.3186  2 Pd 3.51, 2 Si 3.87
Cs  0.1250  0.8064  0.1814  2 Pd 3.51, 2 Si 3.87
Pd  0.2500  0.7500  0.5000  2 Si 2.32
Pd  0.0000  0.0000  0.0000  2 Si 2.32
Si  0.7500  0.2500  0.5000  2 Pd 2.32
Si  0.5000  0.5000  0.0000  2 Pd 2.32

## Properties
Energy relative to the elements, uncorrected = -0.01 eV per atom
Space group = I-42d (122)
Uncorrected energy = -3.09 eV/atom
Excess energy over the best structure of this formula in the dataset = 0 meV/atom